[1]
Material: KBaTl
Method: DFT, GGA-PBE
State: relaxed

Cell lengths 4.522, 25.158, 5.396 Å; angles 90.00, 90.00, 90.00 degrees
Space group Cmcm (No. 63)
Asymmetric unit:
1 K 0.000 0.193 0.250 (multiplicity 4)
2 Ba 0.000 0.425 0.250 (multiplicity 4)
3 Tl 0.000 0.041 0.250 (multiplicity 4)

Results
Excess energy over the best structure of this formula in the dataset in eV/f.u.: 0.00
Energy of formation in eV per formula unit: -0.7
E_tot in eV for the cell shown: -24.3

***

[2]
Material: BPtN2F
Method: DFT, GGA-PBE
State: relaxed

Cell lengths 3.702, 3.702, 6.445 Å; angles 90.00, 90.00, 90.00 degrees
Space group P4/mmm (No. 123)
Asymmetric unit:
1 B 0.000 0.000 0.000 (multiplicity 1)
2 Pt 0.500 0.500 0.500 (multiplicity 1)
3 N 0.000 0.500 0.500 (multiplicity 2)
4 F 0.500 0.500 0.000 (multiplicity 1)

Results
Excess energy over the best structure of this formula in the dataset in eV/f.u.: 3.37
E_form (uncorrected) in meV per atom: 1563
E_tot in eV for the cell shown: -23.4

***

[3]
Material: Al2V15Ga2
Method: DFT, GGA-PBE
State: relaxed

Cell lengths 8.3240, 8.3240, 13.8605 Å; angles 90.00, 90.00, 120.00 degrees
Space group R-3m (No. 166, hexagonal axes)
Asymmetric unit:
1 Al 0.0000 0.0000 0.1714 (multiplicity 6)
2 V 0.0000 0.3180 0.5000 (multiplicity 18)
3 V 0.0000 0.5000 0.0000 (multiplicity 9)
4 V 0.0101 0.5050 0.6539 (multiplicity 18)
5 Ga 0.0000 0.0000 0.4094 (multiplicity 6)

Results
Energy of formation in eV per formula unit: 4.0
E_tot in eV for the cell shown: -438.8

***

[4]
Material: HfPdPt4
Method: DFT, GGA-PBE
State: relaxed

Cell lengths 4.918, 8.616, 4.878 Å; angles 90.00, 109.86, 90.00 degrees
Space group C2/m (No. 12)
Asymmetric unit:
1 Hf 0.000 0.000 0.000 (multiplicity 2)
2 Pd 0.000 0.500 0.500 (multiplicity 2)
3 Pt 0.000 0.167 0.500 (multiplicity 4)
4 Pt 0.000 0.335 0.000 (multiplicity 4)

Results
Excess energy over the best structure of this formula in the dataset in eV/f.u.: 0.28
Energy of formation in eV per formula unit: -4.1
E_tot in eV for the cell shown: -86.8

***

[5]
Material: NiBPd3
Method: DFT, GGA-PBE
State: relaxed

Cell lengths 4.533, 4.533, 4.533 Å; angles 90.00, 90.00, 90.00 degrees
Space group Pm-3m (No. 221)
Asymmetric unit:
1 Ni 0.000 0.000 0.000 (multiplicity 1)
2 B 0.500 0.500 0.500 (multiplicity 1)
3 Pd 0.000 0.000 0.500 (multiplicity 3)

Results
Excess energy over the best structure of this formula in the dataset in eV/f.u.: 7.58
Energy of formation in eV per formula unit: 8.0
E_tot in eV for the cell shown: -20.0

***

[6]
Material: FeHgRu2Pb
Method: DFT, GGA-PBE
State: relaxed

Cell lengths 4.512, 4.512, 4.917 Å; angles 90.00, 90.00, 90.00 degrees
Space group P4/mmm (No. 123)
Asymmetric unit:
1 Fe 0.000 0.000 0.000 (multiplicity 1)
2 Hg 0.500 0.500 0.500 (multiplicity 1)
3 Ru 0.000 0.500 0.000 (multiplicity 2)
4 Pb 0.000 0.000 0.500 (multiplicity 1)

Results
Excess energy over the best structure of this formula in the dataset in eV/f.u.: 0.44
Energy of formation in eV per formula unit: 5.5
E_tot in eV for the cell shown: -25.5

***

[7]
Material: Ho3Tm2Mg7
Method: DFT, GGA-PBE
State: relaxed

Cell lengths 5.116, 25.800, 5.106 Å; angles 90.00, 90.00, 90.00 degrees
Space group Cmmm (No. 65)
Asymmetric unit:
1 Ho 0.000 0.000 0.000 (multiplicity 2)
2 Ho 0.000 0.158 0.000 (multiplicity 4)
3 Tm 0.000 0.355 0.500 (multiplicity 4)
4 Mg 0.000 0.072 0.500 (multiplicity 4)
5 Mg 0.000 0.229 0.500 (multiplicity 4)
6 Mg 0.000 0.428 0.000 (multiplicity 4)
7 Mg 0.000 0.500 0.500 (multiplicity 2)

Results
Energy of formation in eV per formula unit: 1.6
E_tot in eV for the cell shown: -64.6

***

[8]
Material: Pm2AlCu2Ni5
Method: DFT, GGA-PBE
State: relaxed

Cell lengths 9.155, 9.155, 3.635 Å; angles 90.00, 90.00, 90.00 degrees
Space group P4/mbm (No. 127)
Asymmetric unit:
1 Pm 0.179 0.321 0.000 (multiplicity 4)
2 Al 0.000 0.000 0.000 (multiplicity 2)
3 Cu 0.118 0.618 0.000 (multiplicity 4)
4 Ni 0.000 0.500 0.500 (multiplicity 2)
5 Ni 0.057 0.798 0.500 (multiplicity 8)

Results
Energy of formation in eV per formula unit: -2.5
E_tot in eV for the cell shown: -105.6

***

[9]
Material: MnInSb2
Method: DFT, GGA-PBE
State: relaxed

Cell lengths 6.178, 6.178, 12.638 Å; angles 90.00, 90.00, 90.00 degrees
Space group I-42d (No. 122)
Asymmetric unit:
1 Mn 0.000 0.000 0.000 (multiplicity 4)
2 In 0.000 0.000 0.500 (multiplicity 4)
3 Sb 0.179 0.250 0.125 (multiplicity 8)

Results
E_form (uncorrected) in meV per atom: 425
E_tot in eV for the cell shown: -73.8

***

[10]
Material: Pr3Tl4Cd4
Method: DFT, GGA-PBE
State: relaxed

Cell lengths 3.851, 5.064, 15.796 Å; angles 82.36, 83.23, 89.73 degrees
Space group P-1 (No. 2)
Asymmetric unit:
1 Pr 0.000 0.000 0.000 (multiplicity 1)
2 Pr 0.144 0.618 0.715 (multiplicity 2)
3 Tl 0.291 0.842 0.369 (multiplicity 2)
4 Tl 0.364 0.459 0.096 (multiplicity 2)
5 Cd 0.274 0.280 0.477 (multiplicity 2)
6 Cd 0.467 0.923 0.183 (multiplicity 2)

Results
Energy of formation in eV per formula unit: -2.7
E_tot in eV for the cell shown: -30.2

***

[11]
Material: VSb2TeMo
Method: DFT, GGA-PBE
State: relaxed

Cell lengths 5.222, 5.222, 5.326 Å; angles 90.00, 90.00, 90.00 degrees
Space group P4/mmm (No. 123)
Asymmetric unit:
1 V 0.000 0.000 0.000 (multiplicity 1)
2 Sb 0.000 0.500 0.500 (multiplicity 2)
3 Te 0.500 0.500 0.000 (multiplicity 1)
4 Mo 0.500 0.500 0.500 (multiplicity 1)

Results
Excess energy over the best structure of this formula in the dataset in eV/f.u.: 0.00
E_form (uncorrected) in meV per atom: 912
E_tot in eV for the cell shown: -26.8

***

[12]
Material: TmMgSc2
Method: DFT, GGA-PBE
State: relaxed

Cell lengths 3.359, 3.359, 9.017 Å; angles 90.00, 90.00, 90.00 degrees
Space group P4/mmm (No. 123)
Asymmetric unit:
1 Tm 0.000 0.000 0.000 (multiplicity 1)
2 Mg 0.000 0.000 0.500 (multiplicity 1)
3 Sc 0.500 0.500 0.261 (multiplicity 2)

Results
Excess energy over the best structure of this formula in the dataset in eV/f.u.: 0.00
Energy of formation in eV per formula unit: 0.0
E_tot in eV for the cell shown: -18.7